No. 1
## LaGd5Mg6Ag6 (PBE)

Data for an optimized crystal structure of LaGd5Mg6Ag6.

Lattice parameters (Å, degrees): 4.247 13.322 7.701 90.00 90.00 90.00
Positions (direct):
Ag  0.000  0.173  0.003
Ag  0.000  0.827  0.003
Ag  0.500  0.000  0.496
Ag  0.000  0.335  0.500
Ag  0.000  0.665  0.500
Ag  0.500  0.500  0.000
Gd  0.500  0.209  0.295
Gd  0.500  0.791  0.295
Gd  0.500  0.500  0.414
Gd  0.500  0.295  0.790
Gd  0.500  0.705  0.790
La  0.500  0.000  0.916
Mg  0.000  0.380  0.122
Mg  0.000  0.620  0.122
Mg  0.000  0.000  0.262
Mg  0.000  0.124  0.618
Mg  0.000  0.876  0.618
Mg  0.000  0.500  0.757

SG = Pmm2
V = 24.208 Å³ per atom
Energy = -3.3011 eV/atom
Magnetic moment = 0.0 μB per formula unit
Calculated density = 6.548 g cm⁻³

No. 2
## La2GdMg3Ag3 (PBE)

Data for an optimized crystal structure of La2GdMg3Ag3.

Lattice parameters (Å, degrees): 4.329 13.524 7.826 90.00 90.00 90.00
Positions (direct):
Ag  0.500  0.255  0.003
Ag  0.000  0.423  0.498
Ag  0.000  0.085  0.499
Ag  0.500  0.745  0.503
Ag  0.000  0.577  0.998
Ag  0.000  0.915  0.999
Gd  0.500  0.459  0.207
Gd  0.500  0.541  0.707
La  0.500  0.745  0.084
La  0.500  0.043  0.208
La  0.500  0.255  0.584
La  0.500  0.957  0.708
Mg  0.000  0.256  0.238
Mg  0.000  0.867  0.381
Mg  0.000  0.626  0.381
Mg  0.000  0.744  0.738
Mg  0.000  0.133  0.881
Mg  0.000  0.374  0.881

SG = Pmc2_1
V = 25.456 Å³ per atom
Energy = -3.3468 eV/atom
Magnetic moment = 0.0 μB per formula unit
Calculated density = 6.027 g cm⁻³

No. 3
## La2GdMg3Ag3 (PBE)

Data for an optimized crystal structure of La2GdMg3Ag3.

Lattice parameters (Å, degrees): 7.804 4.311 13.536 90.00 90.06 90.00
Positions (direct):
Ag  0.497  0.500  0.159
Ag  0.000  0.500  0.333
Ag  0.501  0.000  0.501
Ag  0.993  0.500  0.674
Ag  0.505  0.500  0.838
Ag  0.003  0.000  0.997
Gd  0.790  0.000  0.795
Gd  0.414  0.000  0.997
La  0.790  0.000  0.205
La  0.293  0.000  0.290
La  0.918  0.000  0.503
La  0.294  0.000  0.711
Mg  0.122  0.500  0.115
Mg  0.620  0.500  0.381
Mg  0.263  0.500  0.502
Mg  0.622  0.500  0.624
Mg  0.118  0.500  0.881
Mg  0.758  0.500  0.996

SG = Pm
V = 25.302 Å³ per atom
Energy = -3.3456 eV/atom
Magnetic moment = 0.0 μB per formula unit
Calculated density = 6.064 g cm⁻³